[1]
## KMnPd (GGA-PBE)

Data for KMnPd after structural relaxation.

Computed properties:
space group	P4/nmm
E_form	0.525	eV per atom

a b c (Å): 3.242 3.242 13.151
angles (deg): 90.00 90.00 90.00
Element x y z (fractional)
K1 0.500 0.000 0.836
K2 0.000 0.500 0.164
Mn1 0.500 0.500 0.500
Mn2 0.000 0.000 0.500
Pd1 0.000 0.500 0.656
Pd2 0.500 0.000 0.344

***

[2]
## KMnPd (GGA-PBE)

Data for KMnPd after structural relaxation.

Computed properties:
space group	P6_3/mmc
E_form	0.484	eV per atom

a b c (Å): 5.132 5.132 5.732
angles (deg): 90.00 90.00 120.00
Site moments in Bohr magnetons follow the coordinates.
Element x y z (fractional)
Mn1 0.333 0.667 0.750  4.19
Mn2 0.667 0.333 0.250  4.19
Pd1 0.667 0.333 0.750  0.17
Pd2 0.333 0.667 0.250  0.18
K1 0.000 0.000 0.500  0.01
K2 0.000 0.000 0.000  0.01